Record 1
{
  "formula": "KB3N",
  "functional": "GGA-PBE",
  "state": "optimized geometry",
  "dft_energy_ev_per_atom": -1.4832,
  "crystal_system": "cubic",
  "lattice_angstrom": [[4.979, 0.000, 0.000], [0.000, 4.979, 0.000], [0.000, 0.000, 4.979]],
  "species": ["K", "N", "B", "B", "B"],
  "frac_coords": [[0.000, 0.000, 0.000], [0.500, 0.500, 0.500], [0.500, 0.000, 0.000], [0.000, 0.000, 0.500], [0.000, 0.500, 0.000]]
}

Record 2
{
  "formula": "KBN2",
  "functional": "GGA-PBE",
  "state": "optimized geometry",
  "dft_energy_ev_per_atom": -5.8491,
  "crystal_system": "trigonal",
  "lattice_angstrom": [[2.444, 0.000, 5.817], [-1.222, 2.116, 5.817], [-1.222, -2.116, 5.817]],
  "species": ["N", "N", "K", "B"],
  "frac_coords": [[0.923, 0.923, 0.923], [0.077, 0.077, 0.077], [0.500, 0.500, 0.500], [0.000, 0.000, 0.000]]
}

Record 3
{
  "formula": "KB3N",
  "functional": "GGA-PBE",
  "state": "optimized geometry",
  "dft_energy_ev_per_atom": -3.3930,
  "crystal_system": "cubic",
  "lattice_angstrom": [[-3.006, 1.101, 2.403], [1.710, -1.965, 3.039], [2.016, 3.309, 1.005]],
  "species": ["B", "B", "B", "K", "N"],
  "frac_coords": [[0.000, 0.000, 0.500], [0.000, 0.500, 0.000], [0.500, 0.000, 0.000], [0.500, 0.500, 0.500], [0.000, 0.000, 0.000]]
}

Record 4
{
  "formula": "KBN2",
  "functional": "GGA-PBE",
  "state": "optimized geometry",
  "dft_energy_ev_per_atom": -6.0802,
  "crystal_system": "orthorhombic",
  "lattice_angstrom": [[-1.792, -3.775, 0.041], [2.521, -1.230, -3.161], [5.178, -2.403, 5.064]],
  "species": ["N", "N", "N", "N", "K", "K", "B", "B"],
  "frac_coords": [[0.500, 0.574, 0.921], [0.500, 0.574, 0.579], [0.500, 0.426, 0.079], [0.500, 0.426, 0.421], [0.000, 0.989, 0.250], [0.000, 0.011, 0.750], [0.500, 0.513, 0.750], [0.500, 0.487, 0.250]]
}

Record 5
{
  "formula": "K2BN",
  "functional": "GGA-PBE",
  "state": "optimized geometry",
  "dft_energy_ev_per_atom": -4.1854,
  "crystal_system": "tetragonal",
  "lattice_angstrom": [[11.638, 0.000, 0.000], [0.000, 11.638, 0.000], [5.819, 5.819, 1.407]],
  "species": ["K", "K", "K", "K", "B", "B", "N", "N"],
  "frac_coords": [[0.923, 0.625, 0.250], [0.375, 0.173, 0.750], [0.875, 0.077, 0.750], [0.827, 0.125, 0.250], [0.250, 0.750, 0.500], [0.500, 0.500, 0.000], [0.000, 0.000, 0.000], [0.750, 0.250, 0.500]]
}

Record 6
{
  "formula": "KBN2",
  "functional": "GGA-PBE",
  "state": "optimized geometry",
  "dft_energy_ev_per_atom": -4.8133,
  "crystal_system": "trigonal",
  "lattice_angstrom": [[1.620, 0.000, 6.505], [-0.810, 1.403, 6.505], [-0.810, -1.403, 6.505]],
  "species": ["B", "N", "N", "K"],
  "frac_coords": [[0.500, 0.500, 0.500], [0.125, 0.125, 0.125], [0.875, 0.875, 0.875], [0.000, 0.000, 0.000]]
}

| no. | E_form (uncorrected) (eV per atom) | magnetization (μB/f.u.) |
| --- | --- | --- |
| 1 | 4.408 | 0.0 |
| 2 | 0.257 | 2.0 |
| 3 | 2.498 | 0.0 |
| 4 | 0.026 | 0.0 |
| 5 | 0.114 | 0.0 |
| 6 | 1.293 | 1.9 |